Run 1
TaPd2Br2 | PBE | optimized geometry

For the magnetic moment, the calculation gives 0.0000 μB/atom. The crystal system is tetragonal. The calculation puts the density of states at the Fermi level at 11.611 states/eV/cell.

The structure belongs to space group I4/mmm (No. 139); the cell edges are 3.428, 3.428 and 19.527 Å and the angles 90.00°, 90.00° and 90.00°. The distinct sites, in fractional coordinates, are Ta at (0.000, 0.000, 0.000), Pd at (0.000, 0.500, 0.250) and Br at (0.000, 0.000, 0.418).

***

Run 2
TaPd2Br2 | PBE | optimized geometry

For the magnetic moment, the calculation gives 0.1418 μB/atom. The crystal system is tetragonal. The calculation puts the density of states at the Fermi level at 6.843 states/eV/cell.

The structure belongs to space group P4/mbm (No. 127); the cell edges are 7.270, 7.270 and 3.519 Å and the angles 90.00°, 90.00° and 90.00°. The distinct sites, in fractional coordinates, are Ta at (0.000, 0.000, 0.000), Pd at (0.147, 0.353, 0.500) and Br at (0.165, 0.665, 0.000).

***

It is run 2 that is the most stable of them.